First-principles (PBE-GGA) data for an optimized crystal structure of BaHg2Cl, as listed in Alexandria.

Geometry as CIF:
```
data_BaHg2Cl
_chemical_formula_sum 'Ba1 Hg2 Cl1'
_cell_length_a 4.498
_cell_length_b 4.496
_cell_length_c 6.256
_cell_angle_alpha 90.00
_cell_angle_beta 94.05
_cell_angle_gamma 90.00
_symmetry_space_group_name_H-M 'P 1 2/m 1'
_symmetry_Int_Tables_number 10
loop_
_symmetry_equiv_pos_as_xyz
'x,y,z'
'-x,-y,-z'
'-x,y,-z'
'x,-y,z'
loop_
_atom_site_label
_atom_site_type_symbol
_atom_site_fract_x
_atom_site_fract_y
_atom_site_fract_z
Ba1 Ba 0.000 0.000 0.000
Hg1 Hg 0.000 0.500 0.500
Hg2 Hg 0.500 0.000 0.500
Cl1 Cl 0.500 0.500 0.000
```

crystal system: monoclinic
formation energy without anion corrections: -1.008 eV/atom
energy above the most stable polymorph in this dataset: 0.0 meV/atom